The following is a DFT calculation (GGA-PBEsol) of a geometry-optimized CdPt3 structure.

Values from the calculation:
The value obtained for the total energy is -5.6474 eV per atom.

abc: 2.7969 3.9761 5.6803
angles: 90.00 90.00 90.00
With the nearest neighbours (Å) after each atom.
Sites, in units of the cell vectors:
Cd 0.0000 0.0000 0.0000  2 Cd 2.80, 10 Pt 2.84
Pt 0.0000 0.0000 0.5000  10 Pt 2.79-2.80, 2 Cd 2.84
Pt 0.5000 0.5000 0.2598  8 Pt 2.73-2.95, 4 Cd 2.84
Pt 0.5000 0.5000 0.7402  8 Pt 2.73-2.95, 4 Cd 2.84